1.
# As2AuCl, optimized geometry, DFT GGA-PBE
# **Raw formation energy**: 36 kJ per mole of atoms
# **Total energy**: -3.237 eV per atom
# **Space group**: I-42d
# **DOS(E_F)**: 0.90 states/eV per atom
# **Energy above the most stable polymorph in this dataset**: 11.33 kcal/mol of atoms
data_As2AuCl
_chemical_formula_sum 'As4 Au2 Cl2'
_cell_length_a 7.453
_cell_length_b 7.453
_cell_length_c 7.453
_cell_angle_alpha 131.86
_cell_angle_beta 131.86
_cell_angle_gamma 70.45
_space_group_name_H-M_alt 'P 1'
_space_group_IT_number 1
loop_
_space_group_symop_operation_xyz
'x,y,z'
loop_
_atom_site_label
_atom_site_fract_x
_atom_site_fract_y
_atom_site_fract_z
_atom_site_occupancy
As1 0.079 0.625 0.954 1
As2 0.375 0.329 0.454 1
As3 0.671 0.125 0.046 1
As4 0.875 0.921 0.546 1
Au1 0.000 0.000 0.000 1
Au2 0.750 0.250 0.500 1
Cl1 0.250 0.750 0.500 1
Cl2 0.500 0.500 0.000 1

=====

2.
# AsAuCl2, optimized geometry, DFT GGA-PBE
# **Raw formation energy**: 2 kJ per mole of atoms
# **Total energy**: -2.879 eV per atom
# **Space group**: Imm2
# **DOS(E_F)**: 0.85 states/eV per atom
# **Energy above the most stable polymorph in this dataset**: 9.04 kcal/mol of atoms
data_AsAuCl2
_chemical_formula_sum 'As1 Au1 Cl2'
_cell_length_a 6.039
_cell_length_b 6.039
_cell_length_c 6.039
_cell_angle_alpha 146.15
_cell_angle_beta 104.07
_cell_angle_gamma 85.78
_space_group_name_H-M_alt 'P 1'
_space_group_IT_number 1
loop_
_space_group_symop_operation_xyz
'x,y,z'
loop_
_atom_site_label
_atom_site_fract_x
_atom_site_fract_y
_atom_site_fract_z
_atom_site_occupancy
As1 0.000 0.000 0.000 1
Au1 0.804 0.304 0.500 1
Cl1 0.228 0.728 0.500 1
Cl2 0.602 0.602 0.000 1

=====

3.
# AsAu2Cl, optimized geometry, DFT GGA-PBE
# **Raw formation energy**: 7 kJ per mole of atoms
# **Total energy**: -3.187 eV per atom
# **Space group**: I-42d
# **DOS(E_F)**: 0.13 states/eV per atom
# **Energy above the most stable polymorph in this dataset**: 2.58 kcal/mol of atoms
data_AsAu2Cl
_chemical_formula_sum 'As2 Au4 Cl2'
_cell_length_a 6.852
_cell_length_b 6.852
_cell_length_c 6.852
_cell_angle_alpha 124.14
_cell_angle_beta 124.14
_cell_angle_gamma 82.97
_space_group_name_H-M_alt 'P 1'
_space_group_IT_number 1
loop_
_space_group_symop_operation_xyz
'x,y,z'
loop_
_atom_site_label
_atom_site_fract_x
_atom_site_fract_y
_atom_site_fract_z
_atom_site_occupancy
As1 0.000 0.000 0.000 1
As2 0.750 0.250 0.500 1
Au1 0.088 0.625 0.963 1
Au2 0.375 0.338 0.463 1
Au3 0.662 0.125 0.037 1
Au4 0.875 0.912 0.537 1
Cl1 0.250 0.750 0.500 1
Cl2 0.500 0.500 0.000 1

=====

4.
# AsAuCl2, optimized geometry, DFT GGA-PBE
# **Raw formation energy**: 13 kJ per mole of atoms
# **Total energy**: -2.772 eV per atom
# **Space group**: R-3m
# **DOS(E_F)**: 0.25 states/eV per atom
# **Energy above the most stable polymorph in this dataset**: 11.51 kcal/mol of atoms
data_AsAuCl2
_chemical_formula_sum 'As1 Au1 Cl2'
_cell_length_a 9.195
_cell_length_b 9.195
_cell_length_c 9.195
_cell_angle_alpha 21.03
_cell_angle_beta 21.03
_cell_angle_gamma 21.03
_space_group_name_H-M_alt 'P 1'
_space_group_IT_number 1
loop_
_space_group_symop_operation_xyz
'x,y,z'
loop_
_atom_site_label
_atom_site_fract_x
_atom_site_fract_y
_atom_site_fract_z
_atom_site_occupancy
As1 0.000 0.000 0.000 1
Au1 0.500 0.500 0.500 1
Cl1 0.090 0.090 0.090 1
Cl2 0.910 0.910 0.910 1

=====

5.
# As2AuCl, optimized geometry, DFT GGA-PBE
# **Raw formation energy**: 35 kJ per mole of atoms
# **Total energy**: -3.239 eV per atom
# **Space group**: P4/mmm
# **DOS(E_F)**: 0.56 states/eV per atom
# **Energy above the most stable polymorph in this dataset**: 11.29 kcal/mol of atoms
data_As2AuCl
_chemical_formula_sum 'As2 Au1 Cl1'
_cell_length_a 3.680
_cell_length_b 3.680
_cell_length_c 7.771
_cell_angle_alpha 90.00
_cell_angle_beta 90.00
_cell_angle_gamma 90.00
_space_group_name_H-M_alt 'P 1'
_space_group_IT_number 1
loop_
_space_group_symop_operation_xyz
'x,y,z'
loop_
_atom_site_label
_atom_site_fract_x
_atom_site_fract_y
_atom_site_fract_z
_atom_site_occupancy
As1 0.000 0.500 0.000 1
As2 0.500 0.000 0.000 1
Au1 0.000 0.000 0.500 1
Cl1 0.500 0.500 0.500 1

=====

6.
# As2AuCl, optimized geometry, DFT GGA-PBE
# **Raw formation energy**: 37 kJ per mole of atoms
# **Total energy**: -3.220 eV per atom
# **Space group**: Fm-3m
# **DOS(E_F)**: 0.46 states/eV per atom
# **Energy above the most stable polymorph in this dataset**: 11.73 kcal/mol of atoms
data_As2AuCl
_chemical_formula_sum 'As2 Au1 Cl1'
_cell_length_a 4.746
_cell_length_b 4.746
_cell_length_c 4.746
_cell_angle_alpha 60.00
_cell_angle_beta 60.00
_cell_angle_gamma 60.00
_space_group_name_H-M_alt 'P 1'
_space_group_IT_number 1
loop_
_space_group_symop_operation_xyz
'x,y,z'
loop_
_atom_site_label
_atom_site_fract_x
_atom_site_fract_y
_atom_site_fract_z
_atom_site_occupancy
As1 0.250 0.250 0.250 1
As2 0.750 0.750 0.750 1
Au1 0.000 0.000 0.000 1
Cl1 0.500 0.500 0.500 1